Entry 1:
The following is a DFT calculation (GGA-PBEsol) of a geometry-optimized RbCdFeRh2 structure.

a b c (Å): 4.9351 4.9351 5.4579
angles (deg): 90.00 90.00 90.00
With the nearest neighbours (Å) after each atom.
Sites, in units of the cell vectors:
1 Rb 0.0000 0.0000 0.0000  2 Cd 2.73
2 Cd 0.0000 0.0000 0.5000  4 Rh 2.47, 2 Rb 2.73
3 Fe 0.5000 0.5000 0.0000  4 Rb 3.49, 8 Rh 3.68
4 Rh 0.0000 0.5000 0.5000  2 Cd 2.47
5 Rh 0.5000 0.0000 0.5000  2 Cd 2.47

## Properties
Uncorrected energy (eV per cell): -17.8
SG: P4/mmm
N(E_F) (states/eV/cell): 7.9
Crystal system: tetragonal

Entry 2:
The following is a DFT calculation (GGA-PBEsol) of a geometry-optimized Cd2FeRe structure.

a b c (Å): 5.3798 5.3798 2.6740
angles (deg): 99.78 99.78 119.05
With the nearest neighbours (Å) after each atom.
Sites, in units of the cell vectors:
1 Cd 0.0000 0.5000 0.0000  4 Cd 2.67-2.73, 2 Fe 2.79, 2 Re 2.79
2 Cd 0.5000 0.0000 0.0000  4 Cd 2.67-2.73, 2 Fe 2.79, 2 Re 2.79
3 Fe 0.0000 0.0000 0.5000  2 Fe 2.67, 2 Re 2.73, 4 Cd 2.79
4 Re 0.5000 0.5000 0.5000  2 Re 2.67, 2 Fe 2.73, 4 Cd 2.79

## Properties
Uncorrected energy (eV per cell): -22.4
SG: C2/m
N(E_F) (states/eV/cell): 2.6
Crystal system: monoclinic

Entry 3:
The following is a DFT calculation (GGA-PBEsol) of a geometry-optimized CdFeRe2 structure.

a b c (Å): 2.7265 2.7265 7.7874
angles (deg): 90.00 90.00 90.00
With the nearest neighbours (Å) after each atom.
Sites, in units of the cell vectors:
1 Cd 0.0000 0.0000 0.0000  4 Cd 2.73, 4 Fe 2.77, 4 Re 2.96
2 Fe 0.5000 0.5000 0.2562  4 Re 2.47, 4 Fe 2.73
3 Re 0.0000 0.0000 0.4545  4 Fe 2.47, 4 Re 2.73
4 Re 0.5000 0.5000 0.7110  8 Re 2.73-2.78, 4 Cd 2.96

## Properties
Uncorrected energy (eV per cell): -35.5
SG: P4mm
N(E_F) (states/eV/cell): 3.6
Crystal system: tetragonal